Compound: Th2AlIn
Source: Alexandria
Functional: PBE
Structure: relaxed

abc: 11.008 11.008 11.008
angles: 17.92 17.92 17.92
Atoms (fractional coordinates):
Th: 0.246 0.246 0.246
Th: 0.754 0.754 0.754
Al: 0.500 0.500 0.500
In: 0.000 0.000 0.000

Values from the calculation:
The calculation puts the formation energy at -0.08 eV per atom. As for the total moment: 0.000 μB per cell.

Compound: Th2Al3In
Source: Alexandria
Functional: PBE
Structure: relaxed

abc: 8.990 8.840 6.146
angles: 71.15 68.53 40.32
Atoms (fractional coordinates):
Th: 0.247 0.753 0.753
Th: 0.250 0.250 0.250
Th: 0.750 0.750 0.750
Th: 0.753 0.247 0.247
Al: 0.163 0.163 0.837
Al: 0.163 0.674 0.326
Al: 0.326 0.837 0.163
Al: 0.674 0.163 0.837
Al: 0.837 0.326 0.674
Al: 0.837 0.837 0.163
In: 0.333 0.333 0.667
In: 0.667 0.667 0.333

Values from the calculation:
The calculation puts the formation energy at -0.39 eV per atom. As for the total moment: 0.000 μB per cell.

Look up the total moment of the second one.
0.000 μB per cell

Look up the total moment of the second one.
0.000 μB per cell

Copy entry 1 word for word.
Compound: Th2AlIn
Source: Alexandria
Functional: PBE
Structure: relaxed

abc: 11.008 11.008 11.008
angles: 17.92 17.92 17.92
Atoms (fractional coordinates):
Th: 0.246 0.246 0.246
Th: 0.754 0.754 0.754
Al: 0.500 0.500 0.500
In: 0.000 0.000 0.000

Values from the calculation:
The calculation puts the formation energy at -0.08 eV per atom. As for the total moment: 0.000 μB per cell.